! PBEsol NaAl11O17, optimized geometry; values from VASP
&SYSTEM
  ibrav = 0, nat = 29, ntyp = 3
/
ATOMIC_SPECIES
Na 22.99 Na.upf
Al 26.98 Al.upf
O 16.00 O.upf
ATOMIC_POSITIONS crystal
Na 0.0000 0.0000 0.0000
Al 0.0783 0.0783 0.5798
Al 0.0783 0.5798 0.0783
Al 0.1747 0.1747 0.1747
Al 0.2714 0.2714 0.7678
Al 0.2714 0.7678 0.2714
Al 0.5247 0.5247 0.5247
Al 0.5798 0.0783 0.0783
Al 0.6251 0.6251 0.6251
Al 0.7248 0.7248 0.7248
Al 0.7678 0.2714 0.2714
Al 0.8239 0.8239 0.8239
O 0.0789 0.0789 0.0789
O 0.0810 0.5776 0.5776
O 0.2643 0.7761 0.7761
O 0.2691 0.2691 0.2691
O 0.3651 0.3651 0.8942
O 0.3651 0.8942 0.3651
O 0.4528 0.9859 0.9859
O 0.4715 0.4715 0.4715
O 0.5776 0.0810 0.5776
O 0.5776 0.5776 0.0810
O 0.6749 0.6749 0.6749
O 0.7761 0.2643 0.7761
O 0.7761 0.7761 0.2643
O 0.8779 0.8779 0.8779
O 0.8942 0.3651 0.3651
O 0.9859 0.4528 0.9859
O 0.9859 0.9859 0.4528
CELL_PARAMETERS angstrom
2.8067 1.6205 11.3135
-2.8067 1.6205 11.3135
0.0000 -3.2410 11.3135
! crystal system	trigonal
! polymorph energy (0 for the lowest one)	0.000	eV/atom
! ΔE_f (raw)	-2.99	eV/atom

***

! PBEsol Na14Al4O13, optimized geometry; values from VASP
&SYSTEM
  ibrav = 0, nat = 62, ntyp = 3
/
ATOMIC_SPECIES
Na 22.99 Na.upf
Al 26.98 Al.upf
O 16.00 O.upf
ATOMIC_POSITIONS crystal
Na 0.1316 0.1606 0.4933
Na 0.1316 0.3394 0.9933
Na 0.1506 0.5537 0.0014
Na 0.1506 0.9463 0.5014
Na 0.2455 0.1108 0.0344
Na 0.2455 0.3892 0.5344
Na 0.2670 0.9997 0.0345
Na 0.2670 0.5003 0.5345
Na 0.2844 0.6120 0.5353
Na 0.2840 0.7245 0.5600
Na 0.2840 0.7755 0.0600
Na 0.2844 0.8880 0.0353
Na 0.2900 0.2182 0.0491
Na 0.2900 0.2818 0.5491
Na 0.7100 0.7182 0.4509
Na 0.7100 0.7818 0.9509
Na 0.7156 0.1120 0.9647
Na 0.7160 0.2245 0.9400
Na 0.7160 0.2755 0.4400
Na 0.7156 0.3880 0.4647
Na 0.7330 0.0003 0.9655
Na 0.7330 0.4997 0.4655
Na 0.7545 0.6108 0.4656
Na 0.7545 0.8892 0.9656
Na 0.8494 0.0537 0.4986
Na 0.8494 0.4463 0.9986
Na 0.8684 0.6606 0.0067
Na 0.8684 0.8394 0.5067
Al 0.3349 0.0550 0.5003
Al 0.3349 0.4450 0.0003
Al 0.3440 0.6652 0.9995
Al 0.3440 0.8348 0.4995
Al 0.6560 0.1652 0.5005
Al 0.6560 0.3348 0.0005
Al 0.6651 0.5550 0.9997
Al 0.6651 0.9450 0.4997
O 0.0344 0.0571 0.2150
O 0.0344 0.4429 0.7150
O 0.0445 0.6709 0.7118
O 0.0445 0.8291 0.2118
O 0.3181 0.0570 0.7861
O 0.3181 0.4430 0.2861
O 0.3191 0.6707 0.2824
O 0.3191 0.8293 0.7824
O 0.4368 0.2104 0.4920
O 0.4368 0.2896 0.9920
O 0.4709 0.6048 0.0006
O 0.4709 0.8952 0.5006
O 0.5000 0.0000 0.5000
O 0.5000 0.5000 0.0000
O 0.5291 0.1048 0.4994
O 0.5291 0.3952 0.9994
O 0.5632 0.7104 0.0080
O 0.5632 0.7896 0.5080
O 0.6809 0.1707 0.2176
O 0.6809 0.3293 0.7176
O 0.6819 0.5570 0.7139
O 0.6819 0.9430 0.2139
O 0.9555 0.1709 0.7882
O 0.9555 0.3291 0.2882
O 0.9656 0.5571 0.2850
O 0.9656 0.9429 0.7850
CELL_PARAMETERS angstrom
5.9509 0.0000 0.0000
0.0000 27.1403 0.0000
-2.9384 0.0000 5.1759
! crystal system	monoclinic
! ΔE_f (raw)	-1.96	eV/atom

***

! PBEsol NaAl11O17, optimized geometry; values from VASP
&SYSTEM
  ibrav = 0, nat = 58, ntyp = 3
/
ATOMIC_SPECIES
Na 22.99 Na.upf
Al 26.98 Al.upf
O 16.00 O.upf
ATOMIC_POSITIONS crystal
Na 0.0000 0.0000 0.2500
Na 0.0000 0.0000 0.7500
Al 0.0000 0.0000 0.0000
Al 0.0000 0.0000 0.5000
Al 0.1681 0.3363 0.1063
Al 0.1681 0.3363 0.3937
Al 0.1681 0.8319 0.1063
Al 0.1681 0.8319 0.3937
Al 0.3333 0.6667 0.5264
Al 0.3333 0.6667 0.6748
Al 0.3333 0.6667 0.8252
Al 0.3333 0.6667 0.9736
Al 0.3363 0.1681 0.6063
Al 0.3363 0.1681 0.8937
Al 0.6637 0.8319 0.1063
Al 0.6637 0.8319 0.3937
Al 0.6667 0.3333 0.0264
Al 0.6667 0.3333 0.1748
Al 0.6667 0.3333 0.3252
Al 0.6667 0.3333 0.4736
Al 0.8319 0.1681 0.6063
Al 0.8319 0.1681 0.8937
Al 0.8319 0.6637 0.6063
Al 0.8319 0.6637 0.8937
O 0.0000 0.0000 0.1438
O 0.0000 0.0000 0.3562
O 0.0000 0.0000 0.6438
O 0.0000 0.0000 0.8562
O 0.0028 0.5014 0.1441
O 0.0028 0.5014 0.3559
O 0.1555 0.3111 0.5502
O 0.1555 0.3111 0.9498
O 0.1555 0.8445 0.5502
O 0.1555 0.8445 0.9498
O 0.3111 0.1555 0.0502
O 0.3111 0.1555 0.4498
O 0.3333 0.6667 0.0541
O 0.3333 0.6667 0.4459
O 0.3333 0.6667 0.7500
O 0.4986 0.5014 0.1441
O 0.4986 0.5014 0.3559
O 0.4986 0.9972 0.1441
O 0.4986 0.9972 0.3559
O 0.5014 0.0028 0.6441
O 0.5014 0.0028 0.8559
O 0.5014 0.4986 0.6441
O 0.5014 0.4986 0.8559
O 0.6667 0.3333 0.2500
O 0.6667 0.3333 0.5541
O 0.6667 0.3333 0.9459
O 0.6889 0.8445 0.5502
O 0.6889 0.8445 0.9498
O 0.8445 0.1555 0.0502
O 0.8445 0.1555 0.4498
O 0.8445 0.6889 0.0502
O 0.8445 0.6889 0.4498
O 0.9972 0.4986 0.6441
O 0.9972 0.4986 0.8559
CELL_PARAMETERS angstrom
5.6162 0.0000 0.0000
-2.8081 4.8637 0.0000
0.0000 0.0000 22.6020
! crystal system	hexagonal
! polymorph energy (0 for the lowest one)	0.005	eV/atom
! ΔE_f (raw)	-2.98	eV/atom

***

! PBEsol NaAlP2O7, optimized geometry; values from VASP
&SYSTEM
  ibrav = 0, nat = 44, ntyp = 4
/
ATOMIC_SPECIES
Na 22.99 Na.upf
Al 26.98 Al.upf
P 30.97 P.upf
O 16.00 O.upf
ATOMIC_POSITIONS crystal
Na 0.2088 0.0251 0.2024
Na 0.2088 0.4749 0.7024
Na 0.7912 0.5251 0.2976
Na 0.7912 0.9749 0.7976
Al 0.2397 0.0093 0.7529
Al 0.2397 0.4907 0.2529
Al 0.7603 0.5093 0.7471
Al 0.7603 0.9907 0.2471
P 0.1707 0.7073 0.9543
P 0.1707 0.7927 0.4543
P 0.4272 0.2456 0.0479
P 0.4272 0.2544 0.5479
P 0.5728 0.7456 0.4521
P 0.5728 0.7544 0.9521
P 0.8293 0.2073 0.5457
P 0.8293 0.2927 0.0457
O 0.0234 0.5840 0.8432
O 0.0234 0.9160 0.3432
O 0.1436 0.6030 0.3998
O 0.1436 0.8970 0.8998
O 0.1872 0.6944 0.1213
O 0.1872 0.8056 0.6213
O 0.3077 0.2092 0.8787
O 0.3077 0.2908 0.3787
O 0.3125 0.1355 0.6128
O 0.3125 0.3645 0.1128
O 0.3775 0.6442 0.9404
O 0.3775 0.8558 0.4404
O 0.5002 0.0814 0.1448
O 0.5002 0.4186 0.6448
O 0.4998 0.5814 0.3552
O 0.4998 0.9186 0.8552
O 0.6225 0.1442 0.5596
O 0.6225 0.3558 0.0596
O 0.6875 0.6355 0.8872
O 0.6875 0.8645 0.3872
O 0.6923 0.7092 0.6213
O 0.6923 0.7908 0.1213
O 0.8128 0.1944 0.3787
O 0.8128 0.3056 0.8787
O 0.8564 0.1030 0.1002
O 0.8564 0.3970 0.6002
O 0.9766 0.0840 0.6568
O 0.9766 0.4160 0.1568
CELL_PARAMETERS angstrom
7.2337 0.0000 0.0000
0.0000 7.7005 0.0000
-3.4575 0.0000 8.6725
! crystal system	monoclinic
! ΔE_f (raw)	-2.49	eV/atom

***

! PBEsol Na5Ti7AlP12O48, optimized geometry; values from VASP
&SYSTEM
  ibrav = 0, nat = 73, ntyp = 5
/
ATOMIC_SPECIES
Na 22.99 Na.upf
Ti 47.87 Ti.upf
Al 26.98 Al.upf
P 30.97 P.upf
O 16.00 O.upf
ATOMIC_POSITIONS crystal
Na 0.0000 0.0000 0.0000
Na 0.0519 0.2526 0.4448
Na 0.3142 0.7528 0.2037
Na 0.5375 0.2471 0.9445
Na 0.8029 0.7497 0.6948
Ti 0.0216 0.3174 0.7694
Ti 0.0865 0.1903 0.1250
Ti 0.2706 0.8197 0.5177
Ti 0.3392 0.6800 0.8730
Ti 0.5224 0.3223 0.2640
Ti 0.5861 0.1834 0.6206
Ti 0.8370 0.6839 0.3705
Al 0.7710 0.8146 0.0165
P 0.2070 0.5159 0.0690
P 0.2854 0.5017 0.4252
P 0.2856 0.5000 0.7137
P 0.3229 0.0006 0.6769
P 0.3317 0.0001 0.9639
P 0.3926 0.0028 0.3210
P 0.7164 0.5014 0.5698
P 0.7813 0.5107 0.2100
P 0.7885 0.4995 0.9291
P 0.8194 0.0017 0.1717
P 0.8225 0.0041 0.4608
P 0.8916 0.9932 0.8196
O 0.0082 0.9892 0.4750
O 0.0269 0.6962 0.0498
O 0.0792 0.8180 0.8370
O 0.0999 0.5161 0.4114
O 0.1109 0.4913 0.7256
O 0.1734 0.1739 0.6956
O 0.1808 0.3468 0.0878
O 0.2064 0.1787 0.8808
O 0.2363 0.6749 0.6298
O 0.2489 0.0148 0.0565
O 0.2507 0.9913 0.5848
O 0.2661 0.6735 0.4446
O 0.2788 0.0195 0.2341
O 0.2942 0.9925 0.4074
O 0.3116 0.5140 0.9841
O 0.3241 0.4922 0.1564
O 0.3261 0.8370 0.9455
O 0.3592 0.5073 0.8063
O 0.3691 0.4907 0.3338
O 0.3727 0.8265 0.7615
O 0.4048 0.3262 0.5099
O 0.4126 0.1738 0.3012
O 0.4350 0.3268 0.6947
O 0.4971 0.0098 0.6645
O 0.5193 0.9760 0.9737
O 0.5289 0.6768 0.5514
O 0.5776 0.8254 0.3388
O 0.5986 0.5199 0.9172
O 0.6084 0.4975 0.2217
O 0.6708 0.1772 0.1899
O 0.6965 0.3305 0.5860
O 0.7034 0.1791 0.3759
O 0.7390 0.0145 0.5526
O 0.7387 0.6805 0.1280
O 0.7538 0.9932 0.0777
O 0.7816 0.0154 0.7305
O 0.7839 0.6605 0.9501
O 0.7945 0.9822 0.9064
O 0.8158 0.5144 0.4839
O 0.8266 0.4825 0.6584
O 0.8426 0.8321 0.4417
O 0.8533 0.5117 0.3052
O 0.8638 0.4858 0.8347
O 0.8656 0.8298 0.2569
O 0.9089 0.3119 0.0089
O 0.9190 0.1604 0.8079
O 0.9296 0.3301 0.1942
O 0.9970 0.0086 0.1613
CELL_PARAMETERS angstrom
8.5460 0.0000 0.0000
4.2576 7.6424 0.0000
0.0194 4.7615 14.0207
! crystal system	triclinic
! ΔE_f (raw)	-2.57	eV/atom

***

! PBEsol Na4Al3Si3SO16, optimized geometry; values from VASP
&SYSTEM
  ibrav = 0, nat = 54, ntyp = 5
/
ATOMIC_SPECIES
Na 22.99 Na.upf
Al 26.98 Al.upf
Si 28.09 Si.upf
S 32.06 S.upf
O 16.00 O.upf
ATOMIC_POSITIONS crystal
Na 0.2403 0.2403 0.2403
Na 0.2403 0.7597 0.7597
Na 0.2597 0.2597 0.7403
Na 0.2597 0.7403 0.2597
Na 0.7403 0.2597 0.2597
Na 0.7403 0.7403 0.7403
Na 0.7597 0.2403 0.7597
Na 0.7597 0.7597 0.2403
Al 0.0000 0.2500 0.5000
Al 0.0000 0.7500 0.5000
Al 0.2500 0.5000 0.0000
Al 0.5000 0.0000 0.2500
Al 0.5000 0.0000 0.7500
Al 0.7500 0.5000 0.0000
Si 0.0000 0.5000 0.2500
Si 0.0000 0.5000 0.7500
Si 0.2500 0.0000 0.5000
Si 0.5000 0.2500 0.0000
Si 0.5000 0.7500 0.0000
Si 0.7500 0.0000 0.5000
S 0.0000 0.0000 0.0000
S 0.5000 0.5000 0.5000
O 0.0306 0.3544 0.3454
O 0.0306 0.6456 0.6546
O 0.0928 0.0928 0.0928
O 0.0928 0.9072 0.9072
O 0.1456 0.4694 0.8454
O 0.1456 0.5306 0.1546
O 0.1546 0.1456 0.5306
O 0.1546 0.8544 0.4694
O 0.3454 0.0306 0.3544
O 0.3454 0.9694 0.6456
O 0.3544 0.3454 0.0306
O 0.3544 0.6546 0.9694
O 0.4072 0.4072 0.5928
O 0.4072 0.5928 0.4072
O 0.4694 0.1546 0.8544
O 0.4694 0.8454 0.1456
O 0.5306 0.1546 0.1456
O 0.5306 0.8454 0.8544
O 0.5928 0.4072 0.4072
O 0.5928 0.5928 0.5928
O 0.6456 0.3454 0.9694
O 0.6456 0.6546 0.0306
O 0.6546 0.0306 0.6456
O 0.6546 0.9694 0.3544
O 0.8454 0.1456 0.4694
O 0.8454 0.8544 0.5306
O 0.8544 0.4694 0.1546
O 0.8544 0.5306 0.8454
O 0.9072 0.0928 0.9072
O 0.9072 0.9072 0.0928
O 0.9694 0.3544 0.6546
O 0.9694 0.6456 0.3454
CELL_PARAMETERS angstrom
9.2061 0.0000 0.0000
0.0000 9.2061 0.0000
0.0000 0.0000 9.2061
! crystal system	cubic
! ΔE_f (raw)	-2.45	eV/atom

***

! PBEsol Na4Al3Si3O12, optimized geometry; values from VASP
&SYSTEM
  ibrav = 0, nat = 44, ntyp = 4
/
ATOMIC_SPECIES
Na 22.99 Na.upf
Al 26.98 Al.upf
Si 28.09 Si.upf
O 16.00 O.upf
ATOMIC_POSITIONS crystal
Na 0.1771 0.1771 0.1771
Na 0.1771 0.8229 0.8229
Na 0.3229 0.3229 0.6771
Na 0.3229 0.6771 0.3229
Na 0.6771 0.3229 0.3229
Na 0.6771 0.6771 0.6771
Na 0.8229 0.1771 0.8229
Na 0.8229 0.8229 0.1771
Al 0.0000 0.2500 0.5000
Al 0.0000 0.7500 0.5000
Al 0.2500 0.5000 0.0000
Al 0.5000 0.0000 0.2500
Al 0.5000 0.0000 0.7500
Al 0.7500 0.5000 0.0000
Si 0.0000 0.5000 0.2500
Si 0.0000 0.5000 0.7500
Si 0.2500 0.0000 0.5000
Si 0.5000 0.2500 0.0000
Si 0.5000 0.7500 0.0000
Si 0.7500 0.0000 0.5000
O 0.0650 0.3610 0.6490
O 0.0650 0.6390 0.3510
O 0.1390 0.4350 0.1490
O 0.1390 0.5650 0.8510
O 0.1490 0.1390 0.4350
O 0.1490 0.8610 0.5650
O 0.3510 0.0650 0.6390
O 0.3510 0.9350 0.3610
O 0.3610 0.3510 0.9350
O 0.3610 0.6490 0.0650
O 0.4350 0.1490 0.1390
O 0.4350 0.8510 0.8610
O 0.5650 0.1490 0.8610
O 0.5650 0.8510 0.1390
O 0.6390 0.3510 0.0650
O 0.6390 0.6490 0.9350
O 0.6490 0.0650 0.3610
O 0.6490 0.9350 0.6390
O 0.8510 0.1390 0.5650
O 0.8510 0.8610 0.4350
O 0.8610 0.4350 0.8510
O 0.8610 0.5650 0.1490
O 0.9350 0.3610 0.3510
O 0.9350 0.6390 0.6490
CELL_PARAMETERS angstrom
8.9022 0.0000 0.0000
0.0000 8.9022 0.0000
0.0000 0.0000 8.9022
! crystal system	cubic
! ΔE_f (raw)	-2.62	eV/atom

***

! PBEsol Na2Al2Si3O10, optimized geometry; values from VASP
&SYSTEM
  ibrav = 0, nat = 34, ntyp = 4
/
ATOMIC_SPECIES
Na 22.99 Na.upf
Al 26.98 Al.upf
Si 28.09 Si.upf
O 16.00 O.upf
ATOMIC_POSITIONS crystal
Na 0.1182 0.1182 0.3601
Na 0.4664 0.0373 0.1394
Na 0.8818 0.8818 0.6399
Na 0.9627 0.5336 0.8606
Al 0.1036 0.6331 0.2827
Al 0.3669 0.8964 0.7173
Al 0.3829 0.4191 0.7779
Al 0.5809 0.6171 0.2221
Si 0.0980 0.9020 0.0000
Si 0.3857 0.4271 0.5370
Si 0.5729 0.6143 0.4630
Si 0.5987 0.1485 0.9776
Si 0.8515 0.4013 0.0224
Si 0.8516 0.1484 0.5000
O 0.0160 0.1036 0.9539
O 0.0970 0.1340 0.6453
O 0.1301 0.6663 0.8396
O 0.2797 0.7093 0.6460
O 0.2889 0.3940 0.3509
O 0.2907 0.7203 0.3540
O 0.3103 0.3334 0.5699
O 0.3337 0.8699 0.1604
O 0.4955 0.0063 0.9296
O 0.5038 0.4062 0.1122
O 0.5173 0.1727 0.8151
O 0.5938 0.4962 0.8878
O 0.6060 0.7111 0.6491
O 0.6666 0.6897 0.4301
O 0.6808 0.2580 0.5869
O 0.7420 0.3192 0.4131
O 0.8273 0.4827 0.1849
O 0.8660 0.9030 0.3547
O 0.8964 0.9840 0.0461
O 0.9937 0.5045 0.0704
CELL_PARAMETERS angstrom
8.0111 -3.2130 0.0000
8.0111 3.2130 0.0000
-7.9542 0.0000 8.3170
! crystal system	monoclinic
! ΔE_f (raw)	-2.73	eV/atom

***

Ordered magnetization results: 0.00 0.00 0.00 0.00 0.00 0.04 0.04 0.00; unit μB per atom.